[1]
Te3CBr, optimized geometry, DFT PBE-GGA; SG = No. 221; energy relative to the elements, uncorrected = 1.01 eV per atom; Fermi-level density of states = 0.55 states/eV/atom; uncorrected energy = -15.28 eV per cell; polymorph energy (0 for the lowest one) = 0.000 eV per atom
1.0
-3.235 -1.809 3.212
-2.371 -2.251 -3.656
2.823 -3.964 0.611
C Br Te
1 1 3
Direct
0.000 0.000 0.000
0.500 0.500 0.500
0.500 0.000 0.000
0.000 0.500 0.000
0.000 0.000 0.500

[2]
TeCBr2, optimized geometry, DFT PBE-GGA; SG = No. 225; energy relative to the elements, uncorrected = 1.90 eV per atom; Fermi-level density of states = 1.36 states/eV/atom; uncorrected energy = -8.13 eV per cell; polymorph energy (0 for the lowest one) = 0.576 eV per atom
1.0
-3.756 -1.074 3.193
-1.811 3.579 3.060
-4.605 1.902 -0.791
Br Te C
2 1 1
Direct
0.750 0.750 0.750
0.250 0.250 0.250
0.500 0.500 0.500
0.000 0.000 0.000

[3]
Te2CBr, optimized geometry, DFT PBE-GGA; SG = No. 166; energy relative to the elements, uncorrected = 1.02 eV per atom; Fermi-level density of states = 0.48 states/eV/atom; uncorrected energy = -13.08 eV per cell; polymorph energy (0 for the lowest one) = 0.223 eV per atom
1.0
0.934 -6.137 6.529
4.237 -5.049 6.141
2.024 -3.239 8.159
Te Br C
2 1 1
Direct
0.892 0.892 0.892
0.108 0.108 0.108
0.000 0.000 0.000
0.500 0.500 0.500

[4]
TeCBr2, optimized geometry, DFT PBE-GGA; SG = No. 166; energy relative to the elements, uncorrected = 1.32 eV per atom; Fermi-level density of states = 0.48 states/eV/atom; uncorrected energy = -10.43 eV per cell; polymorph energy (0 for the lowest one) = 0.000 eV per atom
1.0
1.971 0.000 9.761
-0.985 1.707 9.761
-0.985 -1.707 9.761
Br C Te
2 1 1
Direct
0.060 0.060 0.060
0.940 0.940 0.940
0.000 0.000 0.000
0.500 0.500 0.500